[1]
Entry from the Alexandria database: Ca4BiSbH after structural relaxation (PBE-GGA).

Summary:
As for the uncorrected energy: -3.5797 eV per atom.

abc: 4.734 4.734 9.144
angles: 105.00 105.00 90.00
Fractional coordinates of all 7 atoms:
Ca1 0.999 0.499 0.999
Ca2 0.499 0.999 0.999
Ca3 0.818 0.818 0.635
Ca4 0.169 0.169 0.339
Bi1 0.361 0.361 0.722
Sb1 0.631 0.631 0.263
H1 0.022 0.022 0.043



[2]
Entry from the Alexandria database: SrCa2BiH after structural relaxation (PBE-GGA).

Summary:
As for the uncorrected energy: -3.0278 eV per atom.

abc: 5.125 5.125 5.260
angles: 90.00 90.00 90.00
Fractional coordinates of all 5 atoms:
Sr1 0.000 0.000 0.500
Ca1 0.000 0.500 0.000
Ca2 0.500 0.000 0.000
Bi1 0.500 0.500 0.500
H1 0.000 0.000 0.000



[3]
Entry from the Alexandria database: Sr2Ca2Bi2H after structural relaxation (PBE-GGA).

Summary:
As for the uncorrected energy: -3.4304 eV per atom.

abc: 4.904 4.904 9.520
angles: 104.93 104.93 90.00
Fractional coordinates of all 7 atoms:
Sr1 0.174 0.174 0.349
Sr2 0.826 0.826 0.651
Ca1 0.000 0.500 0.000
Ca2 0.500 0.000 0.000
Bi1 0.370 0.370 0.739
Bi2 0.630 0.630 0.261
H1 0.000 0.000 0.000



[4]
Entry from the Alexandria database: SrCaBiH after structural relaxation (PBE-GGA).

Summary:
As for the uncorrected energy: -3.3814 eV per atom.

abc: 5.258 5.258 10.326
angles: 90.00 90.00 120.00
Fractional coordinates of all 8 atoms:
Sr1 0.333 0.667 0.922
Sr2 0.667 0.333 0.422
Ca1 0.000 0.000 0.181
Ca2 0.000 0.000 0.681
Bi1 0.667 0.333 0.752
Bi2 0.333 0.667 0.252
H1 0.000 0.000 0.458
H2 0.000 0.000 0.958